[1]
VASP calculation (GGA-PBE) on a relaxed structure of NdPaAs2.

```
NdPaAs2
1.0
3.9136 0.0000 0.0000
0.0000 5.4541 0.0000
0.0000 0.0000 10.3173
Nd Pa As
2 2 4
Direct
0.2500 0.2500 0.1216 Nd
0.7500 0.7500 0.8784 Nd
0.2500 0.7500 0.3873 Pa
0.7500 0.2500 0.6127 Pa
0.2500 0.2500 0.4046 As
0.2500 0.2500 0.8312 As
0.7500 0.7500 0.1688 As
0.7500 0.7500 0.5954 As
```

Properties
* polymorph energy (0 for the lowest one): 378 meV per atom

---

[2]
VASP calculation (GGA-PBE) on a relaxed structure of NdPaAs2.

```
NdPaAs2
1.0
4.1610 0.0000 0.0000
-2.0805 3.6035 0.0000
0.0000 0.0000 13.7253
Nd Pa As
2 2 4
Direct
0.3333 0.6667 0.2500 Nd
0.6667 0.3333 0.7500 Nd
0.0000 0.0000 0.0000 Pa
0.0000 0.0000 0.5000 Pa
0.3333 0.6667 0.6166 As
0.3333 0.6667 0.8834 As
0.6667 0.3333 0.1166 As
0.6667 0.3333 0.3834 As
```

Properties
* polymorph energy (0 for the lowest one): 0 meV per atom

---

[3]
VASP calculation (GGA-PBE) on a relaxed structure of NdPa5As6.

```
NdPa5As6
1.0
3.5666 -6.1778 0.0000
3.5666 6.1778 0.0000
-2.3788 0.0000 6.7245
Nd Pa As
1 5 6
Direct
0.0000 0.0000 0.0000 Nd
0.1634 0.8366 0.5000 Pa
0.3327 0.6673 0.0000 Pa
0.5000 0.5000 0.5000 Pa
0.6673 0.3327 0.0000 Pa
0.8366 0.1634 0.5000 Pa
0.0850 0.4237 0.2542 As
0.2557 0.2557 0.7494 As
0.4237 0.0850 0.2542 As
0.5763 0.9150 0.7458 As
0.7443 0.7443 0.2506 As
0.9150 0.5763 0.7458 As
```

---

[4]
VASP calculation (GGA-PBE) on a relaxed structure of NdPaAs2.

```
NdPaAs2
1.0
2.1085 1.2173 8.6509
-2.1085 1.2173 8.6509
0.0000 -2.4347 8.6509
Nd Pa As
1 1 2
Direct
0.0000 0.0000 0.0000 Nd
0.5000 0.5000 0.5000 Pa
0.1105 0.1105 0.1105 As
0.8895 0.8895 0.8895 As
```

Properties
* polymorph energy (0 for the lowest one): 745 meV per atom

---

[5]
VASP calculation (GGA-PBE) on a relaxed structure of Nd2PaAs3.

```
Nd2PaAs3
1.0
-2.1034 2.9644 6.3135
2.1034 -2.9644 6.3135
2.1034 2.9644 -6.3135
Nd Pa As
2 1 3
Direct
0.1688 0.1688 0.0000 Nd
0.8312 0.8312 0.0000 Nd
0.5000 0.5000 0.0000 Pa
0.0000 0.5000 0.5000 As
0.3430 0.8430 0.5000 As
0.6570 0.1570 0.5000 As
```

Properties
* polymorph energy (0 for the lowest one): 6 meV per atom

---

[6]
VASP calculation (GGA-PBE) on a relaxed structure of NdPaAs2.

```
NdPaAs2
1.0
2.0552 1.1866 7.1617
-2.0552 1.1866 7.1617
0.0000 -2.3732 7.1617
Nd Pa As
1 1 2
Direct
0.0000 0.0000 0.0000 Nd
0.1762 0.1762 0.1762 Pa
0.5838 0.5838 0.5838 As
0.7619 0.7619 0.7619 As
```

Properties
* polymorph energy (0 for the lowest one): 110 meV per atom

---

[7]
VASP calculation (GGA-PBE) on a relaxed structure of Nd2PaAs3.

```
Nd2PaAs3
1.0
0.0000 5.9460 12.6050
4.2088 0.0000 12.6050
4.2088 5.9460 0.0000
Nd Pa As
8 4 12
Direct
0.0429 0.0429 0.2071 Nd
0.1234 0.1234 0.6266 Nd
0.2071 0.2071 0.0429 Nd
0.3734 0.3734 0.8766 Nd
0.6266 0.6266 0.1234 Nd
0.7929 0.7929 0.9571 Nd
0.8766 0.8766 0.3734 Nd
0.9571 0.9571 0.7929 Nd
0.2915 0.2915 0.4585 Pa
0.4585 0.4585 0.2915 Pa
0.5415 0.5415 0.7085 Pa
0.7085 0.7085 0.5415 Pa
0.0392 0.5393 0.2234 As
0.1376 0.6124 0.6124 As
0.2234 0.6981 0.0392 As
0.3019 0.7766 0.4607 As
0.3876 0.8624 0.8624 As
0.4607 0.9608 0.3019 As
0.5393 0.0392 0.6981 As
0.6124 0.1376 0.1376 As
0.6981 0.2234 0.5393 As
0.7766 0.3019 0.9608 As
0.8624 0.3876 0.3876 As
0.9608 0.4607 0.7766 As
```

Properties
* polymorph energy (0 for the lowest one): 0 meV per atom

---

[8]
VASP calculation (GGA-PBE) on a relaxed structure of PmNd2PaAs4.

```
PmNd2PaAs4
1.0
7.2867 0.0000 0.0000
0.0000 4.2143 0.0000
-2.4255 0.0000 6.8820
Pm Nd Pa As
1 2 1 4
Direct
0.0000 0.0000 0.0000 Pm
0.0000 0.5000 0.5000 Nd
0.5000 0.0000 0.5000 Nd
0.5000 0.5000 0.0000 Pa
0.2556 0.5000 0.2415 As
0.2600 0.0000 0.7615 As
0.7400 0.0000 0.2385 As
0.7444 0.5000 0.7585 As
```

---

[9]
VASP calculation (GGA-PBE) on a relaxed structure of PmNdPa2As4.

```
PmNdPa2As4
1.0
-2.9448 2.9448 5.9004
2.9448 -2.9448 5.9004
2.9448 2.9448 -5.9004
Pm Nd Pa As
1 1 2 4
Direct
0.0000 0.0000 0.0000 Pm
0.7500 0.2500 0.5000 Nd
0.2500 0.7500 0.5000 Pa
0.5000 0.5000 0.0000 Pa
0.0058 0.5058 0.5000 As
0.2551 0.2551 0.0000 As
0.4942 0.9942 0.5000 As
0.7449 0.7449 0.0000 As
```

---

[10]
VASP calculation (GGA-PBE) on a relaxed structure of PrNdPa2As4.

```
PrNdPa2As4
1.0
-2.9568 2.9568 5.9238
2.9568 -2.9568 5.9238
2.9568 2.9568 -5.9238
Pr Nd Pa As
1 1 2 4
Direct
0.0000 0.0000 0.0000 Pr
0.2500 0.7500 0.5000 Nd
0.5000 0.5000 0.0000 Pa
0.7500 0.2500 0.5000 Pa
0.2567 0.2567 0.0000 As
0.5061 0.0061 0.5000 As
0.7433 0.7433 0.0000 As
0.9939 0.4939 0.5000 As
```

---

[11]
VASP calculation (GGA-PBE) on a relaxed structure of PrNd2PaAs4.

```
PrNd2PaAs4
1.0
-2.9857 2.9857 5.9827
2.9857 -2.9857 5.9827
2.9857 2.9857 -5.9827
Pr Nd Pa As
1 2 1 4
Direct
0.0000 0.0000 0.0000 Pr
0.5000 0.5000 0.0000 Nd
0.7500 0.2500 0.5000 Nd
0.2500 0.7500 0.5000 Pa
0.0104 0.5104 0.5000 As
0.2508 0.2508 0.0000 As
0.4896 0.9896 0.5000 As
0.7492 0.7492 0.0000 As
```

---

[12]
VASP calculation (GGA-PBE) on a relaxed structure of NdPu2PaAs4.

```
NdPu2PaAs4
1.0
7.1794 0.0000 0.0000
0.0000 4.1722 0.0000
-2.4186 0.0000 6.8130
Nd Pu Pa As
1 2 1 4
Direct
0.0000 0.0000 0.0000 Nd
0.5000 0.0000 0.5000 Pu
0.5000 0.5000 0.0000 Pu
0.0000 0.5000 0.5000 Pa
0.2483 0.0000 0.7422 As
0.2541 0.5000 0.2601 As
0.7459 0.5000 0.7399 As
0.7517 0.0000 0.2578 As
```

---

[13]
VASP calculation (GGA-PBE) on a relaxed structure of Nd3PuPa2As6.

```
Nd3PuPa2As6
1.0
3.6232 -6.2736 0.0000
3.6232 6.2736 0.0000
-2.4153 0.0000 6.8588
Nd Pu Pa As
3 1 2 6
Direct
0.0000 0.0000 0.0000 Nd
0.3345 0.6655 0.0000 Nd
0.6655 0.3345 0.0000 Nd
0.5000 0.5000 0.5000 Pu
0.1670 0.8330 0.5000 Pa
0.8330 0.1670 0.5000 Pa
0.0832 0.4209 0.2632 As
0.2410 0.2410 0.7367 As
0.4209 0.0832 0.2632 As
0.5791 0.9168 0.7368 As
0.7590 0.7590 0.2633 As
0.9168 0.5791 0.7368 As
```

---

[14]
VASP calculation (GGA-PBE) on a relaxed structure of Nd2PaAs3Rh4.

```
Nd2PaAs3Rh4
1.0
4.2079 0.0000 0.0000
0.0000 4.2079 0.0000
0.0000 0.0000 11.2153
Nd Pa As Rh
2 1 3 4
Direct
0.0000 0.5000 0.2171 Nd
0.5000 0.0000 0.7829 Nd
0.0000 0.0000 0.5000 Pa
0.0000 0.5000 0.8694 As
0.5000 0.0000 0.1306 As
0.5000 0.5000 0.5000 As
0.0000 0.0000 0.0000 Rh
0.0000 0.5000 0.6489 Rh
0.5000 0.0000 0.3511 Rh
0.5000 0.5000 0.0000 Rh
```

---

[15]
VASP calculation (GGA-PBE) on a relaxed structure of Nd2ScPaAs4.

```
Nd2ScPaAs4
1.0
7.0987 0.0000 0.0000
0.0000 4.1421 0.0000
-2.3951 0.0000 6.7905
Nd Sc Pa As
2 1 1 4
Direct
0.0000 0.0000 0.0000 Nd
0.5000 0.5000 0.0000 Nd
0.0000 0.5000 0.5000 Sc
0.5000 0.0000 0.5000 Pa
0.2393 0.0000 0.7279 As
0.2508 0.5000 0.2676 As
0.7492 0.5000 0.7324 As
0.7607 0.0000 0.2721 As
```

---

[16]
VASP calculation (GGA-PBE) on a relaxed structure of NdScPa2As4.

```
NdScPa2As4
1.0
7.0670 0.0000 0.0000
0.0000 4.0988 0.0000
-2.3724 0.0000 6.6881
Nd Sc Pa As
1 1 2 4
Direct
0.0000 0.0000 0.0000 Nd
0.0000 0.5000 0.5000 Sc
0.5000 0.0000 0.5000 Pa
0.5000 0.5000 0.0000 Pa
0.2465 0.0000 0.7387 As
0.2540 0.5000 0.2617 As
0.7460 0.5000 0.7383 As
0.7535 0.0000 0.2613 As
```

---

[17]
VASP calculation (GGA-PBE) on a relaxed structure of Nd2SmPaAs5.

```
Nd2SmPaAs5
1.0
5.0857 0.0000 0.0000
0.0000 5.0857 0.0000
0.0000 0.0000 11.0287
Nd Sm Pa As
2 1 1 5
Direct
0.0000 0.0000 0.2280 Nd
0.0000 0.0000 0.7720 Nd
0.5000 0.5000 0.5000 Sm
0.5000 0.5000 0.0000 Pa
0.0000 0.0000 0.5000 As
0.0000 0.5000 0.0000 As
0.5000 0.0000 0.0000 As
0.5000 0.5000 0.2510 As
0.5000 0.5000 0.7490 As
```

---

[18]
VASP calculation (GGA-PBE) on a relaxed structure of NdSmPa2As4.

```
NdSmPa2As4
1.0
7.2021 0.0000 0.0000
0.0000 4.1582 0.0000
-2.4007 0.0000 6.8070
Nd Sm Pa As
1 1 2 4
Direct
0.0000 0.0000 0.0000 Nd
0.5000 0.5000 0.0000 Sm
0.0000 0.5000 0.5000 Pa
0.5000 0.0000 0.5000 Pa
0.2477 0.0000 0.7386 As
0.2558 0.5000 0.2627 As
0.7442 0.5000 0.7373 As
0.7523 0.0000 0.2614 As
```

---

[19]
VASP calculation (GGA-PBE) on a relaxed structure of Nd3Sm2PaAs6.

```
Nd3Sm2PaAs6
1.0
3.6511 -6.3228 0.0000
3.6511 6.3228 0.0000
-2.4301 0.0000 6.8934
Nd Sm Pa As
3 2 1 6
Direct
0.0000 0.0000 0.0000 Nd
0.3309 0.6691 0.0000 Nd
0.6691 0.3309 0.0000 Nd
0.1660 0.8340 0.5000 Sm
0.8340 0.1660 0.5000 Sm
0.5000 0.5000 0.5000 Pa
0.0954 0.4199 0.2588 As
0.2569 0.2569 0.7415 As
0.4199 0.0954 0.2588 As
0.5801 0.9046 0.7412 As
0.7431 0.7431 0.2585 As
0.9046 0.5801 0.7412 As
```

---

[20]
VASP calculation (GGA-PBE) on a relaxed structure of SrNd2PaAs4.

```
SrNd2PaAs4
1.0
-3.0084 3.0084 6.0352
3.0084 -3.0084 6.0352
3.0084 3.0084 -6.0352
Sr Nd Pa As
1 2 1 4
Direct
0.0000 0.0000 0.0000 Sr
0.5000 0.5000 0.0000 Nd
0.7500 0.2500 0.5000 Nd
0.2500 0.7500 0.5000 Pa
0.0146 0.5146 0.5000 As
0.2547 0.2547 0.0000 As
0.4854 0.9854 0.5000 As
0.7453 0.7453 0.0000 As
```

---

Q: Which energy of formation values were calculated for the entries above? A: -3.525 -5.038 -13.499 -2.059 -8.180 -4.599 -8.218 -11.284 -10.189 -10.097 -11.172 -9.361 -15.499 -9.275 -10.830 -9.677 -5.646 -10.267 -17.543 -10.343, in eV per formula unit.
Q: Which N(E_F) values were calculated for the entries above? A: 1.2025 0.7335 1.1454 0.8455 0.7936 0.6414 0.8034 0.6846 1.1783 1.1824 0.5522 2.6759 1.6036 0.6755 0.6308 1.0132 0.5647 0.9651 0.3817 0.5664, in states/eV per atom.